Cr2AgHgRh: optimized geometry, PBE-GGA.

Structure (POSCAR):
```
Cr2AgHgRh
1.0
4.687 0.000 0.000
0.000 4.687 0.000
0.000 0.000 5.183
Cr Ag Hg Rh
2 1 1 1
Direct
0.000 0.500 0.000 Cr
0.500 0.000 0.000 Cr
0.000 0.000 0.500 Ag
0.500 0.500 0.500 Hg
0.500 0.500 0.000 Rh
```

Calculated values
formation enthalpy at 0 K	939	meV per atom
M_tot	7.000	μB/f.u.
volume	114	Å³/cell
total energy	-5.011	eV per atom